w:
Computed, not measured: a relaxed BaSrSb2 crystal at the PBEsol level of DFT.

Properties
- Space group: Cmmm, No. 65
- Magnetic moment: 0.0 μB/f.u.

Cell and atoms, written as extended XYZ:
```
4
Lattice="-0.651 0.280 3.393 5.998 -0.881 1.224 0.952 6.102 -0.321" Properties=species:S:1:pos:R:3 pbc="T T T"
Sb 0.476 3.051 -0.160
Sr -0.326 0.140 1.697
Sb 2.999 -0.440 0.612
Ba 3.149 2.751 2.148
```

x:
Computed, not measured: a relaxed BaSrSb2 crystal at the PBEsol level of DFT.

Properties
- Space group: Cm, No. 8
- Magnetic moment: 0.0 μB/f.u.

Cell and atoms, written as extended XYZ:
```
4
Lattice="4.709 0.000 0.000 0.000 5.054 0.000 -2.354 -1.068 6.105" Properties=species:S:1:pos:R:3 pbc="T T T"
Ba 2.354 0.053 3.108
Sr 0.000 2.110 6.093
Sb 0.000 2.507 2.654
Sb 0.000 0.775 0.355
```

Verdict on stability: w comes out at the bottom.